Record 1
Computed, not measured: a relaxed structure of CaDy3Tl2 at the PBE level of DFT.

energy of formation from the pure elements: -0.92 eV per formula unit
offset from the most stable computed form: 0.137 eV/atom
symmetry: C2/m (12)
crystal system: monoclinic

Unit cell a=8.614 b=8.614 c=9.232 alpha=115.78 beta=115.78 gamma=36.91
Sites, in units of the cell vectors:
Ca: 0.135 0.135 0.186
Ca: 0.865 0.865 0.814
Dy: 0.060 0.060 0.712
Dy: 0.309 0.309 0.009
Dy: 0.385 0.385 0.465
Dy: 0.615 0.615 0.535
Dy: 0.691 0.691 0.991
Dy: 0.940 0.940 0.288
Tl: 0.226 0.226 0.609
Tl: 0.479 0.479 0.826
Tl: 0.521 0.521 0.174
Tl: 0.774 0.774 0.391

---

Record 2
Computed, not measured: a relaxed structure of CaDy4Tl7 at the PBE level of DFT.

energy of formation from the pure elements: -1.66 eV per formula unit
symmetry: C2/m (12)
crystal system: monoclinic

Unit cell a=7.415 b=7.415 c=11.451 alpha=121.50 beta=121.50 gamma=44.63
Sites, in units of the cell vectors:
Ca: 0.000 0.000 0.000
Dy: 0.285 0.285 0.670
Dy: 0.415 0.415 0.213
Dy: 0.585 0.585 0.787
Dy: 0.715 0.715 0.330
Tl: 0.077 0.077 0.329
Tl: 0.218 0.218 0.890
Tl: 0.366 0.366 0.451
Tl: 0.500 0.500 0.000
Tl: 0.634 0.634 0.549
Tl: 0.782 0.782 0.110
Tl: 0.923 0.923 0.671

---

Record 3
Computed, not measured: a relaxed structure of CaDy3Tl2 at the PBE level of DFT.

energy of formation from the pure elements: -1.75 eV per formula unit
offset from the most stable computed form: 0.000 eV/atom
symmetry: Pmc2_1 (26)
crystal system: orthorhombic

Unit cell a=5.387 b=9.404 c=6.840 alpha=90.00 beta=90.00 gamma=90.00
Sites, in units of the cell vectors:
Ca: 0.000 0.016 0.000
Ca: 0.000 0.984 0.500
Dy: 0.000 0.334 0.721
Dy: 0.000 0.666 0.221
Dy: 0.500 0.170 0.269
Dy: 0.500 0.486 0.989
Dy: 0.500 0.514 0.489
Dy: 0.500 0.830 0.769
Tl: 0.000 0.336 0.240
Tl: 0.000 0.664 0.740
Tl: 0.500 0.166 0.751
Tl: 0.500 0.834 0.251